(1)
Entry from Alexandria via LeMat-Bulk: MnCd2S4 after structural relaxation (PBE).

The space group is Cmcm (No. 63) and the conventional cell measures 3.2975, 12.2312 and 15.7726 Å, with angles of 90.00, 90.00 and 90.00 degrees. The asymmetric unit holds Mn at (0.0000, 0.1964, 0.2500), Cd at (0.0000, 0.4299, 0.1146), S at (0.0000, 0.0000, 0.0000), S at (0.0000, 0.2435, 0.6486) and S at (0.0000, 0.4507, 0.7500).

The value obtained for the uncorrected formation energy is -0.27 eV per atom. The value obtained for the total moment is 3.23 μB/f.u.



(2)
Entry from Alexandria via LeMat-Bulk: CsAg2Hg2 after structural relaxation (PBE).

The space group is P4/mbm (No. 127) and the conventional cell measures 9.0622, 9.0622 and 3.3215 Å, with angles of 90.00, 90.00 and 90.00 degrees. The asymmetric unit holds Cs at (0.0000, 0.0000, 0.0000), Ag at (0.1664, 0.3336, 0.5000) and Hg at (0.1244, 0.6244, 0.0000).

The value obtained for the total moment is 0.00 μB/f.u. The calculated formation energy comes out at 0.0855 eV per atom.



(3)
Entry from Alexandria via LeMat-Bulk: Ba2GaHPd6 after structural relaxation (PBE).

The space group is C2/m (No. 12) and the conventional cell measures 10.4276, 6.0307 and 7.0167 Å, with angles of 90.00, 120.01 and 90.00 degrees. The asymmetric unit holds Ba at (0.2234, 0.0000, 0.1726), Ga at (0.0000, 0.5000, 0.0000), H at (0.0000, 0.0000, 0.5000), Pd at (0.0259, 0.2578, 0.3223) and Pd at (0.2299, 0.0000, 0.6775).

The value obtained for the total moment is 0.00 μB/f.u. For the total energy, the calculation gives -4.637 eV per atom.



(4)
Entry from Alexandria via LeMat-Bulk: KAl7 after structural relaxation (PBE).

The space group is Fm-3m (No. 225) and the conventional cell measures 8.5414, 8.5414 and 8.5414 Å, with angles of 90.00, 90.00 and 90.00 degrees. The asymmetric unit holds K at (0.0000, 0.0000, 0.0000), Al at (0.0000, 0.0000, 0.5000) and Al at (0.0000, 0.2500, 0.2500).

The value obtained for the total moment is 0.00 μB/f.u. The calculated formation energy comes out at 0.3168 eV per atom.



(5)
Entry from Alexandria via LeMat-Bulk: K3RuCl2F6 after structural relaxation (PBE).

The space group is C2/m (No. 12) and the conventional cell measures 15.7224, 7.6508 and 4.5856 Å, with angles of 90.00, 106.78 and 90.00 degrees. The asymmetric unit holds K at (0.0000, 0.0000, 0.0000), K at (0.2500, 0.2500, 0.5000), Ru at (0.0000, 0.5000, 0.5000), Cl at (0.1841, 0.0000, 0.9303), F at (0.0579, 0.3198, 0.3390) and F at (0.0984, 0.5000, 0.8522).

The value obtained for the uncorrected formation energy is -2.03 eV per atom. The value obtained for the total moment is 3.12 μB/f.u.



(6)
Entry from Alexandria via LeMat-Bulk: Dy5MgCd2 after structural relaxation (PBE).

The space group is Cmcm (No. 63) and the conventional cell measures 4.8368, 11.2160 and 16.3939 Å, with angles of 90.00, 90.00 and 90.00 degrees. The asymmetric unit holds Dy at (0.0000, 0.0081, 0.2500), Dy at (0.0000, 0.1510, 0.0341), Dy at (0.0000, 0.4581, 0.0992), Mg at (0.0000, 0.2878, 0.2500) and Cd at (0.0000, 0.2654, 0.6534).

The value obtained for the total moment is 0.00 μB/f.u. The calculated formation energy comes out at -0.0789 eV per atom.



> Number 5 is which compound?

K3RuCl2F6